This record from Alexandria via LeMat-Bulk describes a relaxed structure of SmMnRu. The functional is PBE-GGA.

Unit cell a=6.4362 b=6.4362 c=6.4375 alpha=59.93 beta=138.42 gamma=138.85
Fractional coordinates of all 6 atoms:
1 Sm 0.2501 0.6211 0.8712
2 Sm 0.7499 0.3789 0.1288
3 Mn 0.0000 0.0000 0.5000
4 Mn 0.5000 0.5000 0.5000
5 Ru 0.7498 0.9408 0.6906
6 Ru 0.2502 0.0592 0.3094

- ρ (g/cm³) = 8.8
- calculated volume (Å³/cell) = 115
- total magnetic moment (μB/f.u.) = 0.267
- E (eV per atom) = -7.5815